Material: K2MnRh2S6
Method: DFT, PBE
State: optimized geometry

Cell lengths 6.205, 6.205, 7.487 Å; angles 98.13, 98.13, 120.06 degrees
Site moments in Bohr magnetons follow the coordinates.
Atoms (fractional coordinates):
K 0.832 0.168 0.000  0.00
K 0.168 0.832 0.000  0.00
Mn 0.000 0.000 0.500  2.96
Rh 0.332 0.668 0.500  0.00
Rh 0.668 0.332 0.500  0.00
S 0.727 0.727 0.668  -0.02
S 0.059 0.387 0.668  -0.02
S 0.273 0.273 0.332  -0.02
S 0.387 0.059 0.668  -0.02
S 0.941 0.613 0.332  -0.02
S 0.613 0.941 0.332  -0.02

Output
Symmetry: C2/m (12)
Formation energy (no corrections) (eV per atom): -0.742